Al2CuTe4Pb | PBE | relaxed

```
Al2CuTe4Pb
1.0
0.000 5.121 5.847
4.325 0.000 5.847
4.325 5.121 0.000
Al Cu Te Pb
2 1 4 1
Cartesian
2.163 2.560 0.000
2.163 2.560 5.847
4.325 5.121 2.777
4.325 2.970 4.238
6.675 5.121 6.945
4.325 7.272 4.238
1.975 5.121 6.945
4.325 5.121 8.934
```

- Fermi-level density of states: 1.8 states/eV/f.u.
- Energy relative to the elements, uncorrected: -0.1978 eV/atom
- SG: Fmm2 (42)
- M_tot: 0.0 μB/f.u.
- Calculated total energy: -29.4 eV/f.u.